# 1
# PBE-GGA TiGaTcPd, optimized geometry
data_TiGaTcPd
_cell_length_a 3.161
_cell_length_b 3.161
_cell_length_c 6.016
_cell_angle_alpha 90.00
_cell_angle_beta 90.00
_cell_angle_gamma 90.00
_space_group_name_H-M_alt 'P 1'
_space_group_IT_number 1
_space_group_name_Hall 'P 1'
loop_
_atom_site_label
_atom_site_type_symbol
_atom_site_fract_x
_atom_site_fract_y
_atom_site_fract_z
Ti1 Ti 0.000 0.000 0.000
Ga1 Ga 0.000 0.000 0.469
Tc1 Tc 0.500 0.500 0.229
Pd1 Pd 0.500 0.500 0.722
# Density ... 8.90 g cm⁻³
# SG ... No. 99



# 2
# PBE-GGA TiGaTcPd, optimized geometry
data_TiGaTcPd
_cell_length_a 6.184
_cell_length_b 6.184
_cell_length_c 6.184
_cell_angle_alpha 90.00
_cell_angle_beta 90.00
_cell_angle_gamma 90.00
_space_group_name_H-M_alt 'P 1'
_space_group_IT_number 1
_space_group_name_Hall 'P 1'
loop_
_atom_site_label
_atom_site_type_symbol
_atom_site_fract_x
_atom_site_fract_y
_atom_site_fract_z
Ti1 Ti 0.000 0.000 0.000
Ti2 Ti 0.000 0.500 0.500
Ti3 Ti 0.500 0.000 0.500
Ti4 Ti 0.500 0.500 0.000
Ga1 Ga 0.000 0.000 0.500
Ga2 Ga 0.000 0.500 0.000
Ga3 Ga 0.500 0.000 0.000
Ga4 Ga 0.500 0.500 0.500
Tc1 Tc 0.250 0.250 0.250
Tc2 Tc 0.250 0.750 0.750
Tc3 Tc 0.750 0.250 0.750
Tc4 Tc 0.750 0.750 0.250
Pd1 Pd 0.250 0.250 0.750
Pd2 Pd 0.250 0.750 0.250
Pd3 Pd 0.750 0.250 0.250
Pd4 Pd 0.750 0.750 0.750
# Density ... 9.04 g cm⁻³
# SG ... No. 216



# 3
# PBE-GGA UGaTcPd, optimized geometry
data_UGaTcPd
_cell_length_a 6.560
_cell_length_b 6.560
_cell_length_c 6.560
_cell_angle_alpha 90.00
_cell_angle_beta 90.00
_cell_angle_gamma 90.00
_space_group_name_H-M_alt 'P 1'
_space_group_IT_number 1
_space_group_name_Hall 'P 1'
loop_
_atom_site_label
_atom_site_type_symbol
_atom_site_fract_x
_atom_site_fract_y
_atom_site_fract_z
U1 U 0.000 0.000 0.000
U2 U 0.000 0.500 0.500
U3 U 0.500 0.000 0.500
U4 U 0.500 0.500 0.000
Ga1 Ga 0.000 0.000 0.500
Ga2 Ga 0.000 0.500 0.000
Ga3 Ga 0.500 0.000 0.000
Ga4 Ga 0.500 0.500 0.500
Tc1 Tc 0.250 0.250 0.250
Tc2 Tc 0.250 0.750 0.750
Tc3 Tc 0.750 0.250 0.750
Tc4 Tc 0.750 0.750 0.250
Pd1 Pd 0.250 0.250 0.750
Pd2 Pd 0.250 0.750 0.250
Pd3 Pd 0.750 0.250 0.250
Pd4 Pd 0.750 0.750 0.750
# Density ... 12.05 g cm⁻³
# SG ... No. 216



# 4
# PBE-GGA GaTcPdW2, optimized geometry
data_GaTcPdW2
_cell_length_a 4.774
_cell_length_b 4.774
_cell_length_c 4.414
_cell_angle_alpha 90.00
_cell_angle_beta 90.00
_cell_angle_gamma 90.00
_space_group_name_H-M_alt 'P 1'
_space_group_IT_number 1
_space_group_name_Hall 'P 1'
loop_
_atom_site_label
_atom_site_type_symbol
_atom_site_fract_x
_atom_site_fract_y
_atom_site_fract_z
Ga1 Ga 0.000 0.000 0.000
Tc1 Tc 0.500 0.500 0.000
Pd1 Pd 0.000 0.000 0.500
W1 W 0.000 0.500 0.500
W2 W 0.500 0.000 0.500
# Density ... 10.59 g cm⁻³
# SG ... No. 123



no.,formation enthalpy at 0 K (eV/atom),Fermi-level density of states (states/eV per atom),total DFT energy (no corrections) (eV/atom)
1,-0.557,0.33,-7.18
2,-0.528,0.18,-7.15
3,-0.186,1.34,-7.65
4,1.954,1.19,-6.94